A relaxed structure of La9Tb2Ho. Source: Alexandria, functional PBE-GGA.

Results
- density (Mg/m³) = 6.801
- magnetic moment (μB/f.u.) = 0.00
- calculated formation energy (meV/atom) = 7.2

Unit cell a=5.205 b=5.205 c=15.616 alpha=90.00 beta=90.00 gamma=90.00
Element x y z (fractional)
La1 0.000 0.000 0.000
La2 0.000 0.000 0.333
La3 0.000 0.000 0.667
La4 0.000 0.500 0.166
La5 0.000 0.500 0.500
La6 0.000 0.500 0.834
La7 0.500 0.000 0.166
La8 0.500 0.000 0.500
La9 0.500 0.000 0.834
Tb1 0.500 0.500 0.333
Tb2 0.500 0.500 0.667
Ho1 0.500 0.500 0.000



A relaxed structure of Np2PdRh9. Source: Alexandria, functional PBE-GGA.

Results
- density (Mg/m³) = 13.299
- magnetic moment (μB/f.u.) = 2.71
- calculated formation energy (meV/atom) = -240.3

Unit cell a=3.983 b=3.983 c=11.859 alpha=90.00 beta=90.00 gamma=90.00
Element x y z (fractional)
Np1 0.000 0.000 0.172
Np2 0.000 0.000 0.828
Pd1 0.000 0.000 0.500
Rh1 0.000 0.500 0.000
Rh2 0.000 0.500 0.337
Rh3 0.000 0.500 0.663
Rh4 0.500 0.000 0.000
Rh5 0.500 0.000 0.337
Rh6 0.500 0.000 0.663
Rh7 0.500 0.500 0.170
Rh8 0.500 0.500 0.500
Rh9 0.500 0.500 0.830



A relaxed structure of Cd2CuCl. Source: Alexandria, functional PBE-GGA.

Results
- density (Mg/m³) = 6.212
- formation energy from raw total energies (eV per atom) = 0.05
- magnetic moment (μB/f.u.) = 0.00
- energy above the most stable polymorph in this dataset (eV/atom) = 0.2412

Unit cell a=6.316 b=6.316 c=6.316 alpha=144.00 beta=144.00 gamma=51.82
Element x y z (fractional)
Cd1 0.000 0.000 0.000
Cd2 0.750 0.250 0.500
Cu1 0.500 0.500 0.000
Cl1 0.250 0.750 0.500



A relaxed structure of Er2RhI2. Source: Alexandria, functional PBE-GGA.

Results
- density (Mg/m³) = 6.826
- formation energy from raw total energies (eV per atom) = -1.07
- magnetic moment (μB/f.u.) = 0.00

Unit cell a=4.080 b=4.080 c=11.957 alpha=100.88 beta=100.88 gamma=59.97
Element x y z (fractional)
Er1 0.214 0.214 0.128
Er2 0.786 0.786 0.872
Rh1 0.500 0.500 0.000
I1 0.053 0.053 0.691
I2 0.947 0.947 0.309



A relaxed structure of In2Cu2SnPd5. Source: Alexandria, functional PBE-GGA.

Results
- density (Mg/m³) = 9.870
- magnetic moment (μB/f.u.) = 0.00
- calculated formation energy (meV/atom) = -307.2

Unit cell a=9.334 b=9.334 c=3.891 alpha=90.00 beta=90.00 gamma=90.00
Element x y z (fractional)
In1 0.165 0.335 0.000
In2 0.335 0.835 0.000
In3 0.665 0.165 0.000
In4 0.835 0.665 0.000
Cu1 0.128 0.628 0.000
Cu2 0.372 0.128 0.000
Cu3 0.628 0.872 0.000
Cu4 0.872 0.372 0.000
Sn1 0.000 0.000 0.000
Sn2 0.500 0.500 0.000
Pd1 0.000 0.500 0.500
Pd2 0.098 0.811 0.500
Pd3 0.189 0.098 0.500
Pd4 0.311 0.598 0.500
Pd5 0.402 0.311 0.500
Pd6 0.500 0.000 0.500
Pd7 0.598 0.689 0.500
Pd8 0.689 0.402 0.500
Pd9 0.811 0.902 0.500
Pd10 0.902 0.189 0.500



A relaxed structure of Sm4PdRh. Source: Alexandria, functional PBE-GGA.

Results
- density (Mg/m³) = 7.724
- magnetic moment (μB/f.u.) = 0.00
- calculated formation energy (meV/atom) = -466.6
- energy above the most stable polymorph in this dataset (eV/atom) = 0.0530

Unit cell a=8.497 b=8.497 c=6.983 alpha=111.20 beta=111.20 gamma=113.32
Element x y z (fractional)
Sm1 0.049 0.585 0.818
Sm2 0.225 0.263 0.774
Sm3 0.263 0.225 0.274
Sm4 0.415 0.951 0.682
Sm5 0.585 0.049 0.318
Sm6 0.737 0.775 0.726
Sm7 0.775 0.737 0.226
Sm8 0.951 0.415 0.182
Pd1 0.371 0.629 0.250
Pd2 0.629 0.371 0.750
Rh1 0.106 0.894 0.750
Rh2 0.894 0.106 0.250



A relaxed structure of K2NaGe2. Source: Alexandria, functional PBE-GGA.

Results
- density (Mg/m³) = 2.269
- magnetic moment (μB/f.u.) = 0.00
- calculated formation energy (meV/atom) = 69.7
- energy above the most stable polymorph in this dataset (eV/atom) = 0.1047

Unit cell a=7.774 b=7.774 c=7.774 alpha=141.54 beta=141.54 gamma=55.53
Element x y z (fractional)
K1 0.250 0.750 0.500
K2 0.750 0.250 0.500
Na1 0.000 0.000 0.000
Ge1 0.417 0.417 0.000
Ge2 0.583 0.583 0.000



A relaxed structure of LiCa2Sn2. Source: Alexandria, functional PBE-GGA.

Results
- density (Mg/m³) = 3.923
- magnetic moment (μB/f.u.) = 0.00
- calculated formation energy (meV/atom) = -587.0
- energy above the most stable polymorph in this dataset (eV/atom) = 0.0000

Unit cell a=6.247 b=6.247 c=11.316 alpha=115.35 beta=115.35 gamma=44.58
Element x y z (fractional)
Li1 0.221 0.221 0.361
Li2 0.779 0.779 0.639
Ca1 0.318 0.318 0.900
Ca2 0.488 0.488 0.666
Ca3 0.512 0.512 0.334
Ca4 0.682 0.682 0.100
Sn1 0.020 0.020 0.880
Sn2 0.141 0.141 0.574
Sn3 0.859 0.859 0.426
Sn4 0.980 0.980 0.120



Q: magnetic moment of number 2 (Np2PdRh9)?
A: 2.71 μB/f.u.



Q: Which of these has the highest magnetic moment?
A: Np2PdRh9



Repeat the fourth record exactly.
A relaxed structure of Er2RhI2. Source: Alexandria, functional PBE-GGA.

Results
- density (Mg/m³) = 6.826
- formation energy from raw total energies (eV per atom) = -1.07
- magnetic moment (μB/f.u.) = 0.00

Unit cell a=4.080 b=4.080 c=11.957 alpha=100.88 beta=100.88 gamma=59.97
Element x y z (fractional)
Er1 0.214 0.214 0.128
Er2 0.786 0.786 0.872
Rh1 0.500 0.500 0.000
I1 0.053 0.053 0.691
I2 0.947 0.947 0.309